Material: K3HfMg2O6
Method: DFT, PBE-GGA
State: optimized geometry

Results
Symmetry   C2/m
ΔE_f (raw)   -2.22 eV per atom

Cell lengths 5.593, 5.593, 6.405 Å; angles 98.30, 98.30, 120.04 degrees
Each line ends with the local moment (μB).
Fractional positions:
K: 0.172 0.828 0.500  0.00
K: 0.828 0.172 0.500  0.00
K: 0.500 0.500 0.500  0.00
Hf: 0.000 0.000 0.000  -0.02
Mg: 0.333 0.667 0.000  0.00
Mg: 0.667 0.333 0.000  0.00
O: 0.940 0.617 0.822  0.15
O: 0.737 0.737 0.180  0.16
O: 0.060 0.383 0.178  0.15
O: 0.617 0.940 0.822  0.15
O: 0.263 0.263 0.820  0.16
O: 0.383 0.060 0.178  0.15

***

Material: KHfMg2P
Method: DFT, PBE-GGA
State: optimized geometry

Results
Symmetry   P4/mmm
Calculated formation energy   1552 meV/atom

Cell lengths 5.655, 6.274, 5.655 Å; angles 90.00, 90.00, 90.00 degrees
Each line ends with the local moment (μB).
Fractional positions:
P: 0.500 0.500 0.500  -0.59
K: 0.000 0.500 0.000  0.05
Hf: 0.000 0.000 0.000  1.28
Mg: 0.000 0.000 0.500  0.02
Mg: 0.500 0.000 0.000  0.03

***

Q: Number 1 is which compound?
A: K3HfMg2O6